# 1
A plane-wave DFT calculation with GGA-PBEsol was carried out for an optimized crystal structure of HfScBe2B.

Properties
SG = No. 123
Total moment = 0.000 μB per formula unit
D(E_F) = 3.49 states/eV/cell
Raw total energy = -6.110 eV per atom

POSCAR file:
```
HfScBe2B
1.0
3.8999 0.0000 0.0000
0.0000 3.8999 0.0000
0.0000 0.0000 4.4032
Sc Be B Hf
1 2 1 1
direct
0.0000 0.0000 0.5000
0.0000 0.5000 0.0000
0.5000 0.0000 0.0000
0.0000 0.0000 0.0000
0.5000 0.5000 0.5000
```


# 2
A plane-wave DFT calculation with GGA-PBEsol was carried out for an optimized crystal structure of BaAl2Ir.

Properties
SG = No. 160
Total moment = 0.000 μB per formula unit
D(E_F) = 2.24 states/eV/cell
Raw total energy = -4.778 eV per atom

POSCAR file:
```
BaAl2Ir
1.0
-0.5637 1.9618 -2.3878
1.3983 -0.4607 -2.7750
-7.0681 -5.0039 -4.5090
Ir Ba Al
1 1 2
direct
0.2663 0.2663 0.2010
0.5061 0.5061 0.4818
0.9925 0.9925 0.0224
0.7351 0.7351 0.7948
```


# 3
A plane-wave DFT calculation with GGA-PBEsol was carried out for an optimized crystal structure of FeCo2.

Properties
SG = No. 65
Total moment = 6.020 μB per formula unit
D(E_F) = 6.87 states/eV/cell
Raw total energy = -8.092 eV per atom

POSCAR file:
```
FeCo2
1.0
-1.7161 -1.9370 1.0088
2.5960 -0.8297 2.8228
-1.6555 5.0194 2.9978
Co Fe
4 2
direct
0.6662 0.0000 0.3323
0.0000 0.0000 0.0000
0.3338 0.0000 0.6677
0.5000 0.5000 0.0000
0.1660 0.5000 0.3319
0.8340 0.5000 0.6681
```


# 4
A plane-wave DFT calculation with GGA-PBEsol was carried out for an optimized crystal structure of YZrCl2.

Properties
SG = No. 10
Energy relative to the lowest polymorph listed for this composition = 0.0000 eV/atom
Total moment = 0.000 μB per formula unit
D(E_F) = 2.71 states/eV/cell

POSCAR file:
```
YZrCl2
1.0
-2.8268 -0.1670 1.8664
0.9213 -4.1814 1.0212
3.2719 1.7659 4.2787
Y Zr Cl
1 1 2
direct
0.5000 0.5000 0.5000
0.0000 0.5000 0.0000
0.8118 0.0000 0.7550
0.1882 0.0000 0.2450
```


# 5
A plane-wave DFT calculation with GGA-PBEsol was carried out for an optimized crystal structure of RbAlN2.

Properties
SG = No. 166
Total moment = 2.000 μB per formula unit
D(E_F) = 1.44 states/eV/cell
Raw total energy = -4.550 eV per atom

POSCAR file:
```
RbAlN2
1.0
3.6018 0.0000 0.0000
1.8009 3.1192 0.0000
1.8009 1.0397 7.5199
Al Rb N
1 1 2
direct
0.0000 0.0000 0.0000
0.5000 0.5000 0.5000
0.9215 0.9215 0.2356
0.0785 0.0785 0.7644
```


# 6
A plane-wave DFT calculation with GGA-PBEsol was carried out for an optimized crystal structure of CoHg2As.

Properties
SG = No. 123
Total moment = 1.322 μB per formula unit
D(E_F) = 3.37 states/eV/cell
Raw total energy = -3.019 eV per atom

POSCAR file:
```
CoHg2As
1.0
-1.2760 2.4171 2.3885
-3.1371 -1.8185 0.1643
1.9430 -2.9852 4.0588
As Co Hg
1 1 2
direct
0.5000 0.5000 0.0000
0.5000 0.5000 0.5000
0.0000 0.0000 0.7437
0.0000 0.0000 0.2563
```


# 7
A plane-wave DFT calculation with GGA-PBEsol was carried out for an optimized crystal structure of TcOs2.

Properties
SG = No. 8
Energy relative to the lowest polymorph listed for this composition = 0.0028 eV/atom
Total moment = 0.000 μB per formula unit
D(E_F) = 3.98 states/eV/cell

POSCAR file:
```
TcOs2
1.0
-0.7480 -2.6171 -0.1770
5.0961 -0.0574 0.3278
-1.8576 0.1164 6.1284
Os Tc
4 2
direct
0.9998 0.9997 0.9994
0.3890 0.7781 0.2776
0.6672 0.3345 0.3336
0.3332 0.6664 0.6675
0.0550 0.1100 0.6107
0.7223 0.4446 0.9446
```


# 8
A plane-wave DFT calculation with GGA-PBEsol was carried out for an optimized crystal structure of LaTeIr2O.

Properties
SG = No. 123
Total moment = 0.000 μB per formula unit
D(E_F) = 5.54 states/eV/cell
Raw total energy = -5.977 eV per atom

POSCAR file:
```
LaTeIr2O
1.0
4.0326 0.0000 0.0000
0.0000 5.1096 0.0000
0.0000 0.0000 5.1096
Ir Te O La
2 1 1 1
direct
0.0000 0.0000 0.5000
0.0000 0.5000 0.0000
0.5000 0.5000 0.5000
0.5000 0.0000 0.0000
0.0000 0.0000 0.0000
```


# 9
A plane-wave DFT calculation with GGA-PBEsol was carried out for an optimized crystal structure of RbMgW2.

Properties
SG = No. 225
Total moment = 0.001 μB per formula unit
D(E_F) = 5.62 states/eV/cell
Raw total energy = -5.126 eV per atom

POSCAR file:
```
RbMgW2
1.0
-1.4973 2.9719 -3.4114
-4.4468 -0.3463 -1.6788
-3.2021 3.3790 1.0203
Mg Rb W
1 1 2
direct
0.0000 0.0000 0.0000
0.5000 0.5000 0.5000
0.2500 0.2500 0.2500
0.7500 0.7500 0.7500
```


# 10
A plane-wave DFT calculation with GGA-PBEsol was carried out for an optimized crystal structure of MnRe4Te.

Properties
SG = No. 216
Total moment = 3.873 μB per formula unit
D(E_F) = 4.62 states/eV/cell
Raw total energy = -10.306 eV per atom

POSCAR file:
```
MnRe4Te
1.0
-3.3318 -2.6574 3.0179
1.7351 -3.9203 2.9817
0.1732 0.5465 5.1905
Mn Re Te
1 4 1
direct
0.0000 0.0000 0.0000
0.3746 0.3746 0.3746
0.3746 0.3746 0.8762
0.8762 0.3746 0.3746
0.3746 0.8762 0.3746
0.7500 0.7500 0.7500
```


# 11
A plane-wave DFT calculation with GGA-PBEsol was carried out for an optimized crystal structure of TcRhBr2.

Properties
SG = No. 44
Energy relative to the lowest polymorph listed for this composition = 0.1400 eV/atom
Total moment = 0.006 μB per formula unit
D(E_F) = 4.42 states/eV/cell

POSCAR file:
```
TcRhBr2
1.0
3.0344 0.0000 0.0000
0.0000 3.3803 0.0000
-1.5172 -1.6901 8.1758
Rh Tc Br
1 1 2
direct
0.4209 0.4209 0.8417
0.3231 0.8231 0.6463
0.0238 0.0238 0.0476
0.7322 0.2322 0.4644
```


# 12
A plane-wave DFT calculation with GGA-PBEsol was carried out for an optimized crystal structure of Ru2RhCl.

Properties
SG = No. 216
Energy relative to the lowest polymorph listed for this composition = 0.1012 eV/atom
Total moment = 1.567 μB per formula unit
D(E_F) = 5.14 states/eV/cell

POSCAR file:
```
Ru2RhCl
1.0
-1.0675 -3.1569 -2.7103
1.5253 -3.9679 0.6170
-2.6353 -3.1377 1.2889
Cl Rh Ru
1 1 2
direct
0.5000 0.5000 0.5000
0.2500 0.2500 0.2500
0.0000 0.0000 0.0000
0.7500 0.7500 0.7500
```


# 13
A plane-wave DFT calculation with GGA-PBEsol was carried out for an optimized crystal structure of TiBN2F.

Properties
SG = No. 123
Total moment = 0.007 μB per formula unit
D(E_F) = 2.44 states/eV/cell
Raw total energy = -6.484 eV per atom

POSCAR file:
```
TiBN2F
1.0
-1.4075 2.4617 -2.5453
-3.5658 -0.4670 1.5201
0.6702 2.9433 2.4761
N F B Ti
2 1 1 1
direct
0.0000 0.0000 0.5000
0.0000 0.5000 0.0000
0.5000 0.0000 0.0000
0.5000 0.5000 0.5000
0.0000 0.0000 0.0000
```


# 14
A plane-wave DFT calculation with GGA-PBEsol was carried out for an optimized crystal structure of Nd2Si3Rh.

Properties
SG = No. 194
Total moment = 0.000 μB per formula unit
D(E_F) = 6.88 states/eV/cell
Raw total energy = -6.897 eV per atom

POSCAR file:
```
Nd2Si3Rh
1.0
-7.0983 1.2195 3.9344
5.4008 -5.4675 2.8792
3.5088 5.8455 4.5186
Nd Si Rh
8 12 4
direct
0.0000 0.0000 0.7500
0.0000 0.0000 0.2500
0.4943 0.5057 0.7500
0.0113 0.5057 0.7500
0.4943 0.9887 0.7500
0.5057 0.4943 0.2500
0.5057 0.0113 0.2500
0.9887 0.4943 0.2500
0.8329 0.1671 0.4993
0.3341 0.1671 0.4993
0.8329 0.6659 0.4993
0.8329 0.1671 0.0007
0.3341 0.1671 0.0007
0.8329 0.6659 0.0007
0.1671 0.8329 0.9993
0.1671 0.3341 0.9993
0.6659 0.8329 0.9993
0.1671 0.8329 0.5007
0.1671 0.3341 0.5007
0.6659 0.8329 0.5007
0.6667 0.3333 0.5248
0.6667 0.3333 0.9752
0.3333 0.6667 0.0248
0.3333 0.6667 0.4752
```


# 15
A plane-wave DFT calculation with GGA-PBEsol was carried out for an optimized crystal structure of CaTcCl2.

Properties
SG = No. 12
Total moment = 2.134 μB per formula unit
D(E_F) = 2.32 states/eV/cell
Raw total energy = -4.661 eV per atom

POSCAR file:
```
CaTcCl2
1.0
3.3964 0.0043 0.0064
-1.6516 4.9667 0.0115
-1.6516 -1.8769 4.5984
Ca Tc Cl
1 1 2
direct
0.0000 0.5000 0.5000
0.0000 0.0000 0.0000
0.0000 0.5000 0.0000
0.0000 0.0000 0.5000
```


# 16
A plane-wave DFT calculation with GGA-PBEsol was carried out for an optimized crystal structure of BeFeW2.

Properties
SG = No. 47
Total moment = 1.303 μB per formula unit
D(E_F) = 3.44 states/eV/cell
Raw total energy = -9.934 eV per atom

POSCAR file:
```
BeFeW2
1.0
-1.9369 2.6755 -0.7060
-2.6224 -1.2843 2.3276
1.7023 2.0346 3.0405
Be Fe W
1 1 2
direct
0.5000 0.5000 0.0000
0.0000 0.5000 0.5000
0.0000 0.0000 0.0000
0.5000 0.0000 0.5000
```


# 17
A plane-wave DFT calculation with GGA-PBEsol was carried out for an optimized crystal structure of TaMo.

Properties
SG = No. 8
Total moment = 0.000 μB per formula unit
D(E_F) = 4.05 states/eV/cell
Raw total energy = -12.281 eV per atom

POSCAR file:
```
TaMo
1.0
-1.3683 3.4966 -2.4786
0.3739 -0.6788 -5.2383
-4.5379 -0.7484 -2.6298
Mo Ta
3 3
direct
0.9972 0.0060 0.9998
0.6662 0.4953 0.1722
0.0029 0.4983 0.4958
0.3378 0.9994 0.3249
0.6666 0.9928 0.6740
0.3293 0.5083 0.8331
```


# 18
A plane-wave DFT calculation with GGA-PBEsol was carried out for an optimized crystal structure of CrSi2O6.

Properties
SG = No. 15
Energy relative to the lowest polymorph listed for this composition = 0.0000 eV/atom
Total moment = 2.000 μB per formula unit
D(E_F) = 8.59 states/eV/cell

POSCAR file:
```
CrSi2O6
1.0
-1.2012 -5.0296 1.1780
1.8685 -3.3754 -5.0684
5.2524 -2.3583 2.7249
Cr Si O
2 4 12
direct
0.2500 0.4055 0.5945
0.7500 0.5945 0.4055
0.2534 0.8882 0.7133
0.7466 0.1118 0.2867
0.2466 0.2867 0.1118
0.7534 0.7133 0.8882
0.5435 0.1504 0.1287
0.2279 0.1264 0.5943
0.1308 0.4585 0.3172
0.4565 0.8496 0.8713
0.7721 0.8736 0.4057
0.8692 0.5415 0.6828
0.2721 0.4057 0.8736
0.3692 0.6828 0.5415
0.0435 0.1287 0.1504
0.9565 0.8713 0.8496
0.6308 0.3172 0.4585
0.7279 0.5943 0.1264
```


# 19
A plane-wave DFT calculation with GGA-PBEsol was carried out for an optimized crystal structure of Sc2CdAg.

Properties
SG = No. 166
Total moment = 0.001 μB per formula unit
D(E_F) = 4.65 states/eV/cell
Raw total energy = -4.252 eV per atom

POSCAR file:
```
Sc2CdAg
1.0
3.0444 0.0000 0.0000
1.5222 2.6365 0.0000
1.5222 0.8788 10.7724
Sc Ag Cd
2 1 1
direct
0.9066 0.9066 0.2803
0.0934 0.0934 0.7197
0.5000 0.5000 0.5000
0.0000 0.0000 0.0000
```


# 20
A plane-wave DFT calculation with GGA-PBEsol was carried out for an optimized crystal structure of SrMgTl2.

Properties
SG = No. 225
Energy relative to the lowest polymorph listed for this composition = 0.0000 eV/atom
Total moment = 0.000 μB per formula unit
D(E_F) = 1.40 states/eV/cell

POSCAR file:
```
SrMgTl2
1.0
-2.9314 -4.4077 0.9484
0.7545 -2.8100 4.5192
-3.7516 0.0425 3.8486
Sr Tl Mg
1 2 1
direct
0.0000 0.5000 0.5000
0.2501 0.7499 0.7499
0.7499 0.2501 0.2501
0.5000 0.0000 0.0000
```